Entry 1:
This record from Alexandria via LeMat-Bulk describes an optimized crystal structure of IrW2I. The functional is PBE.

a b c (Å): 7.1913 7.1913 7.1913
angles (deg): 131.56 131.56 70.93
Last column: nearest neighbours and their distance in Å.
Fractional positions:
Ir 0.0000 0.0000 0.0000  4 W 2.42
Ir 0.7500 0.2500 0.5000  4 W 2.42
W 0.0858 0.6250 0.9608  2 Ir 2.42, 2 I 2.69
W 0.3750 0.3358 0.4608  2 Ir 2.42, 2 I 2.69
W 0.6642 0.1250 0.0392  2 Ir 2.42, 2 I 2.69
W 0.8750 0.9142 0.5392  2 Ir 2.42, 2 I 2.69
I 0.2500 0.7500 0.5000  4 W 2.69
I 0.5000 0.5000 0.0000  4 W 2.69

* SG: I-42d, No. 122

Entry 2:
This record from Alexandria via LeMat-Bulk describes an optimized crystal structure of IrW2I. The functional is PBE.

a b c (Å): 4.5876 4.5876 4.5876
angles (deg): 60.00 60.00 60.00
Last column: nearest neighbours and their distance in Å.
Fractional positions:
Ir 0.0000 0.0000 0.0000  8 W 2.81
W 0.2500 0.2500 0.2500  4 I 2.81, 4 Ir 2.81
W 0.7500 0.7500 0.7500  4 I 2.81, 4 Ir 2.81
I 0.5000 0.5000 0.5000  8 W 2.81

* SG: Fm-3m, No. 225

Entry 3:
This record from Alexandria via LeMat-Bulk describes an optimized crystal structure of IrWI3. The functional is PBE.

a b c (Å): 5.3784 5.3784 5.3784
angles (deg): 90.00 90.00 90.00
Last column: nearest neighbours and their distance in Å.
Fractional positions:
Ir 0.0000 0.0000 0.0000  6 I 2.69
W 0.5000 0.5000 0.5000  12 I 3.80
I 0.0000 0.0000 0.5000  2 Ir 2.69
I 0.0000 0.5000 0.0000  2 Ir 2.69
I 0.5000 0.0000 0.0000  2 Ir 2.69

* SG: Pm-3m, No. 221

Entry 4:
This record from Alexandria via LeMat-Bulk describes an optimized crystal structure of Ir2WI. The functional is PBE.

a b c (Å): 4.6374 4.6374 4.6374
angles (deg): 60.00 60.00 60.00
Last column: nearest neighbours and their distance in Å.
Fractional positions:
Ir 0.2500 0.2500 0.2500  4 W 2.84, 4 I 2.84
Ir 0.7500 0.7500 0.7500  4 W 2.84, 4 I 2.84
W 0.0000 0.0000 0.0000  8 Ir 2.84
I 0.5000 0.5000 0.5000  8 Ir 2.84

* SG: Fm-3m, No. 225

Entry 5:
This record from Alexandria via LeMat-Bulk describes an optimized crystal structure of Ir3WI. The functional is PBE.

a b c (Å): 4.7657 4.7657 4.7657
angles (deg): 90.00 90.00 90.00
Last column: nearest neighbours and their distance in Å.
Fractional positions:
Ir 0.0000 0.0000 0.5000  2 I 2.38
Ir 0.0000 0.5000 0.0000  2 I 2.38
Ir 0.5000 0.0000 0.0000  2 I 2.38
W 0.5000 0.5000 0.5000  12 Ir 3.37
I 0.0000 0.0000 0.0000  6 Ir 2.38

* SG: Pm-3m, No. 221

Entry 6:
This record from Alexandria via LeMat-Bulk describes an optimized crystal structure of Y4IrI5. The functional is PBE.

a b c (Å): 10.0198 10.0198 8.9004
angles (deg): 102.32 102.32 23.98
Last column: nearest neighbours and their distance in Å.
Fractional positions:
Y 0.0010 0.0010 0.2021  2 Ir 2.75
Y 0.3572 0.3572 0.9258  1 Ir 2.73
Y 0.6428 0.6428 0.0742  1 Ir 2.73
Y 0.9990 0.9990 0.7979  2 Ir 2.75
Ir 0.5000 0.5000 0.0000  6 Y 2.73-2.75
I 0.1687 0.1687 0.3427  3 Y 3.13-3.25
I 0.1774 0.1774 0.8321  4 Y 3.17-3.44
I 0.5000 0.5000 0.5000  4 Y 3.37
I 0.8226 0.8226 0.1679  4 Y 3.17-3.44
I 0.8313 0.8313 0.6573  3 Y 3.13-3.25

* SG: C2/m, No. 12

Entry 7:
This record from Alexandria via LeMat-Bulk describes an optimized crystal structure of YIrI2. The functional is PBE.

a b c (Å): 5.1631 5.1631 5.1631
angles (deg): 60.00 60.00 60.00
Last column: nearest neighbours and their distance in Å.
Fractional positions:
Y 0.0000 0.0000 0.0000  8 I 3.16
Ir 0.5000 0.5000 0.5000  8 I 3.16
I 0.2500 0.2500 0.2500  4 Ir 3.16, 4 Y 3.16
I 0.7500 0.7500 0.7500  4 Ir 3.16, 4 Y 3.16

* SG: Fm-3m, No. 225

Entry 8:
This record from Alexandria via LeMat-Bulk describes an optimized crystal structure of Y3IrI. The functional is PBE.

a b c (Å): 5.4666 5.4666 5.4666
angles (deg): 90.00 90.00 90.00
Last column: nearest neighbours and their distance in Å.
Fractional positions:
Y 0.0000 0.0000 0.5000  2 Ir 2.73
Y 0.0000 0.5000 0.0000  2 Ir 2.73
Y 0.5000 0.0000 0.0000  2 Ir 2.73
Ir 0.0000 0.0000 0.0000  6 Y 2.73
I 0.5000 0.5000 0.5000  12 Y 3.87

* SG: Pm-3m, No. 221

Entry 9:
This record from Alexandria via LeMat-Bulk describes an optimized crystal structure of YIr3I. The functional is PBE.

a b c (Å): 5.0898 5.0898 5.0898
angles (deg): 90.00 90.00 90.00
Last column: nearest neighbours and their distance in Å.
Fractional positions:
Y 0.0000 0.0000 0.0000  6 Ir 2.54
Ir 0.0000 0.0000 0.5000  2 Y 2.54
Ir 0.0000 0.5000 0.0000  2 Y 2.54
Ir 0.5000 0.0000 0.0000  2 Y 2.54
I 0.5000 0.5000 0.5000  12 Ir 3.60

* SG: Pm-3m, No. 221

Entry 10:
This record from Alexandria via LeMat-Bulk describes an optimized crystal structure of Y6IrI10. The functional is PBE.

a b c (Å): 7.7518 9.7052 9.7727
angles (deg): 107.09 96.65 104.32
Last column: nearest neighbours and their distance in Å.
Fractional positions:
Y 0.0330 0.2182 0.4168  1 Ir 2.70
Y 0.1161 0.5431 0.2589  1 Ir 2.72
Y 0.3485 0.6244 0.6661  1 Ir 2.76, 1 I 3.03
Y 0.6515 0.3756 0.3339  1 Ir 2.76, 1 I 3.03
Y 0.8839 0.4569 0.7411  1 Ir 2.72
Y 0.9670 0.7818 0.5832  1 Ir 2.70
Ir 0.0000 0.5000 0.5000  6 Y 2.70-2.76
I 0.0871 0.8736 0.3207  3 Y 3.12-3.34
I 0.2252 0.2443 0.1551  3 Y 3.14-3.30
I 0.2559 0.5866 0.9615  3 Y 3.12-3.32
I 0.3459 0.9500 0.7730  2 Y 3.03-3.05
I 0.4543 0.3147 0.5920  4 Y 3.21-3.27
I 0.5457 0.6853 0.4080  4 Y 3.21-3.27
I 0.6541 0.0500 0.2270  2 Y 3.03-3.05
I 0.7441 0.4134 0.0385  3 Y 3.12-3.32
I 0.7748 0.7557 0.8449  3 Y 3.14-3.30
I 0.9129 0.1264 0.6793  3 Y 3.12-3.34

* SG: P-1, No. 2

Entry 11:
This record from Alexandria via LeMat-Bulk describes an optimized crystal structure of YIrI. The functional is PBE.

a b c (Å): 4.3130 4.3130 11.9377
angles (deg): 100.54 100.54 60.00
Last column: nearest neighbours and their distance in Å.
Fractional positions:
Y 0.0523 0.0523 0.1547  6 Ir 3.05-3.10, 3 I 3.23
Y 0.9477 0.9477 0.8453  6 Ir 3.05-3.10, 3 I 3.23
Ir 0.3345 0.3345 0.0036  3 Ir 2.49
Ir 0.6655 0.6655 0.9964  3 Ir 2.49
I 0.2216 0.2216 0.6689  3 Y 3.23
I 0.7784 0.7784 0.3311  3 Y 3.23

* SG: C2/m, No. 12

Entry 12:
This record from Alexandria via LeMat-Bulk describes an optimized crystal structure of YIrI2. The functional is PBE.

a b c (Å): 9.5321 9.5321 9.5321
angles (deg): 148.96 148.96 44.46
Last column: nearest neighbours and their distance in Å.
Fractional positions:
Y 0.0000 0.0000 0.0000  4 I 2.92
Y 0.7500 0.2500 0.5000  4 I 2.92
Ir 0.2500 0.7500 0.5000  4 I 2.78
Ir 0.5000 0.5000 0.0000  4 I 2.78
I 0.1557 0.6250 0.0307  2 Ir 2.78, 2 Y 2.92
I 0.3750 0.4057 0.5307  2 Ir 2.78, 2 Y 2.92
I 0.5943 0.1250 0.9693  2 Ir 2.78, 2 Y 2.92
I 0.8750 0.8443 0.4693  2 Ir 2.78, 2 Y 2.92

* SG: I-42d, No. 122

Entry 13:
This record from Alexandria via LeMat-Bulk describes an optimized crystal structure of YIrI3. The functional is PBE.

a b c (Å): 5.3738 5.3738 5.3738
angles (deg): 90.00 90.00 90.00
Last column: nearest neighbours and their distance in Å.
Fractional positions:
Y 0.0000 0.0000 0.0000  12 I 3.80
Ir 0.5000 0.5000 0.5000  6 I 2.69
I 0.0000 0.5000 0.5000  2 Ir 2.69
I 0.5000 0.0000 0.5000  2 Ir 2.69
I 0.5000 0.5000 0.0000  2 Ir 2.69

* SG: Pm-3m, No. 221

Entry 14:
This record from Alexandria via LeMat-Bulk describes an optimized crystal structure of YIr3I. The functional is PBE.

a b c (Å): 4.8778 4.8778 4.8778
angles (deg): 90.00 90.00 90.00
Last column: nearest neighbours and their distance in Å.
Fractional positions:
Y 0.0000 0.0000 0.0000  12 Ir 3.45
Ir 0.0000 0.5000 0.5000  2 I 2.44
Ir 0.5000 0.0000 0.5000  2 I 2.44
Ir 0.5000 0.5000 0.0000  2 I 2.44
I 0.5000 0.5000 0.5000  6 Ir 2.44

* SG: Pm-3m, No. 221

Entry 15:
This record from Alexandria via LeMat-Bulk describes an optimized crystal structure of YIrI3. The functional is PBE.

a b c (Å): 5.9879 5.9879 5.9879
angles (deg): 90.00 90.00 90.00
Last column: nearest neighbours and their distance in Å.
Fractional positions:
Y 0.0000 0.0000 0.0000  6 I 2.99
Ir 0.5000 0.5000 0.5000  12 I 4.23
I 0.0000 0.0000 0.5000  2 Y 2.99
I 0.0000 0.5000 0.0000  2 Y 2.99
I 0.5000 0.0000 0.0000  2 Y 2.99

* SG: Pm-3m, No. 221

Entry 16:
This record from Alexandria via LeMat-Bulk describes an optimized crystal structure of YZnIrI2. The functional is PBE.

a b c (Å): 5.2815 5.2815 4.8662
angles (deg): 90.00 90.00 90.00
Last column: nearest neighbours and their distance in Å.
Fractional positions:
Y 0.0000 0.0000 0.0000  8 I 3.59, 4 Ir 3.73
Zn 0.5000 0.5000 0.5000  2 Ir 2.43, 4 I 2.64
Ir 0.5000 0.5000 0.0000  2 Zn 2.43
I 0.0000 0.5000 0.5000  2 Zn 2.64
I 0.5000 0.0000 0.5000  2 Zn 2.64

* SG: P4/mmm, No. 123

Entry 17:
This record from Alexandria via LeMat-Bulk describes an optimized crystal structure of ZnIrI2. The functional is PBE.

a b c (Å): 7.6106 7.6106 7.6106
angles (deg): 131.36 131.36 71.24
Last column: nearest neighbours and their distance in Å.
Fractional positions:
Zn 0.0000 0.0000 0.0000  4 I 2.81
Zn 0.7500 0.2500 0.5000  4 I 2.81
Ir 0.2500 0.7500 0.5000  4 I 2.61
Ir 0.5000 0.5000 0.0000  4 I 2.61
I 0.1525 0.6250 0.0275  2 Ir 2.61, 2 Zn 2.81
I 0.3750 0.4025 0.5275  2 Ir 2.61, 2 Zn 2.81
I 0.5975 0.1250 0.9725  2 Ir 2.61, 2 Zn 2.81
I 0.8750 0.8475 0.4725  2 Ir 2.61, 2 Zn 2.81

* SG: I-42d, No. 122

Entry 18:
This record from Alexandria via LeMat-Bulk describes an optimized crystal structure of Zn2IrI. The functional is PBE.

a b c (Å): 7.4270 7.4270 7.4270
angles (deg): 131.04 131.04 71.75
Last column: nearest neighbours and their distance in Å.
Fractional positions:
Zn 0.0584 0.6250 0.9334  2 Ir 2.43
Zn 0.3750 0.3084 0.4334  2 Ir 2.43
Zn 0.6916 0.1250 0.0666  2 Ir 2.43
Zn 0.8750 0.9416 0.5666  2 Ir 2.43
Ir 0.0000 0.0000 0.0000  4 Zn 2.43
Ir 0.7500 0.2500 0.5000  4 Zn 2.43
I 0.2500 0.7500 0.5000  4 Zn 2.90
I 0.5000 0.5000 0.0000  4 Zn 2.90

* SG: I-42d, No. 122

Entry 19:
This record from Alexandria via LeMat-Bulk describes an optimized crystal structure of ZnIrI2. The functional is PBE.

a b c (Å): 5.0673 5.0673 5.0673
angles (deg): 60.00 60.00 60.00
Last column: nearest neighbours and their distance in Å.
Fractional positions:
Zn 0.0000 0.0000 0.0000  8 I 3.10
Ir 0.5000 0.5000 0.5000  8 I 3.10
I 0.2500 0.2500 0.2500  4 Ir 3.10, 4 Zn 3.10
I 0.7500 0.7500 0.7500  4 Ir 3.10, 4 Zn 3.10

* SG: Fm-3m, No. 225

Entry 20:
This record from Alexandria via LeMat-Bulk describes an optimized crystal structure of Zn2Ir2I. The functional is PBE.

a b c (Å): 7.9658 7.9658 7.9658
angles (deg): 153.08 153.08 38.43
Last column: nearest neighbours and their distance in Å.
Fractional positions:
Zn 0.1253 0.1253 0.0000  4 Ir 2.64
Zn 0.8747 0.8747 0.0000  4 Ir 2.64
Ir 0.2500 0.7500 0.5000  4 Ir 2.62, 4 Zn 2.64
Ir 0.7500 0.2500 0.5000  4 Ir 2.62, 4 Zn 2.64
I 0.5000 0.5000 0.0000  8 Zn 3.23

* SG: I4/mmm, No. 139

Number 1: calculated volume 25.5 A^3/atom, formation energy (no corrections) 1423 meV per atom. Number 2: calculated volume 17.1 A^3/atom, formation energy (no corrections) 1009 meV per atom. Number 3: calculated volume 31.1 A^3/atom, formation energy (no corrections) 1523 meV per atom. Number 4: calculated volume 17.6 A^3/atom, formation energy (no corrections) 1226 meV per atom. Number 5: calculated volume 21.6 A^3/atom, formation energy (no corrections) 2631 meV per atom. Number 6: calculated volume 35.4 A^3/atom, formation energy (no corrections) -1178 meV per atom. Number 7: calculated volume 24.3 A^3/atom, formation energy (no corrections) 147 meV per atom. Number 8: calculated volume 32.7 A^3/atom, formation energy (no corrections) -452 meV per atom. Number 9: calculated volume 26.4 A^3/atom, formation energy (no corrections) 2027 meV per atom. Number 10: calculated volume 39.2 A^3/atom, formation energy (no corrections) -1272 meV per atom. Number 11: calculated volume 31.3 A^3/atom, formation energy (no corrections) -1074 meV per atom. Number 12: calculated volume 28.7 A^3/atom, formation energy (no corrections) 15 meV per atom. Number 13: calculated volume 31.0 A^3/atom, formation energy (no corrections) 114 meV per atom. Number 14: calculated volume 23.2 A^3/atom, formation energy (no corrections) 1089 meV per atom. Number 15: calculated volume 42.9 A^3/atom, formation energy (no corrections) 389 meV per atom. Number 16: calculated volume 27.1 A^3/atom, formation energy (no corrections) 436 meV per atom. Number 17: calculated volume 30.4 A^3/atom, formation energy (no corrections) 521 meV per atom. Number 18: calculated volume 28.5 A^3/atom, formation energy (no corrections) 445 meV per atom. Number 19: calculated volume 23.0 A^3/atom, formation energy (no corrections) 965 meV per atom. Number 20: calculated volume 20.7 A^3/atom, formation energy (no corrections) 365 meV per atom.